No. 1
This record from the Open Quantum Materials Database describes crystalline TbPtAu at its relaxed geometry. The functional is PBE.

POSCAR file:
```
TbPtAu
1.0
6.545 0.000 0.000
0.000 6.545 0.000
0.000 0.000 6.545
Tb Pt Au
4 4 4
Direct
0.000 0.000 0.000
0.000 0.500 0.500
0.500 0.000 0.500
0.500 0.500 0.000
0.250 0.250 0.750
0.250 0.750 0.250
0.750 0.250 0.250
0.750 0.750 0.750
0.000 0.000 0.500
0.000 0.500 0.000
0.500 0.000 0.000
0.500 0.500 0.500
```

Output
formation energy	-0.842	eV per atom
space-group type	F-43m (216)
M_tot	0.00	μB per cell



No. 2
This record from the Open Quantum Materials Database describes crystalline Dy2Ni12As7 at its relaxed geometry. The functional is PBE.

POSCAR file:
```
Dy2Ni12As7
1.0
9.343 0.000 0.000
-4.672 8.091 0.000
0.000 0.000 3.826
Dy Ni As
2 12 7
Direct
0.000 0.000 0.000
0.333 0.667 0.500
0.044 0.759 0.500
0.105 0.390 0.000
0.241 0.285 0.500
0.285 0.895 0.000
0.387 0.205 0.000
0.552 0.123 0.500
0.571 0.448 0.500
0.610 0.715 0.000
0.715 0.956 0.500
0.795 0.182 0.000
0.818 0.613 0.000
0.877 0.429 0.500
0.071 0.620 0.000
0.260 0.036 0.500
0.380 0.450 0.000
0.550 0.929 0.000
0.667 0.333 0.000
0.776 0.740 0.500
0.964 0.224 0.500
```

Output
calculated total energy	-120.1	eV/cell
space-group type	P-6 (174)
M_tot	0.00	μB per cell



No. 3
This record from the Open Quantum Materials Database describes crystalline Ni2Bi at its relaxed geometry. The functional is PBE.

POSCAR file:
```
Ni2Bi
1.0
5.998 0.000 0.000
0.000 5.998 0.000
0.000 0.000 5.998
Ni Bi
8 4
Direct
0.250 0.250 0.250
0.250 0.250 0.750
0.250 0.750 0.250
0.250 0.750 0.750
0.750 0.250 0.250
0.750 0.250 0.750
0.750 0.750 0.250
0.750 0.750 0.750
0.000 0.000 0.000
0.000 0.500 0.500
0.500 0.000 0.500
0.500 0.500 0.000
```

Output
calculated total energy	-56.7	eV/cell
space-group type	Fm-3m (225)
M_tot	0.01	μB per cell



No. 4
This record from the Open Quantum Materials Database describes crystalline NdY2P3 at its relaxed geometry. The functional is PBE.

POSCAR file:
```
NdY2P3
1.0
4.064 0.000 0.000
-2.032 3.519 0.000
0.000 0.000 9.946
Nd Y P
1 2 3
Direct
0.000 0.000 0.000
0.333 0.667 0.337
0.667 0.333 0.663
0.000 0.000 0.500
0.333 0.667 0.826
0.667 0.333 0.174
```

Output
calculated total energy	-43.5	eV/cell
space-group type	P-3m1 (164)
M_tot	0.00	μB per cell



No. 5
This record from the Open Quantum Materials Database describes crystalline MgPtN2 at its relaxed geometry. The functional is PBE.

POSCAR file:
```
MgPtN2
1.0
5.434 0.000 0.000
0.000 6.603 0.000
0.000 0.000 5.692
Mg Pt N
4 4 8
Direct
0.084 0.125 0.000
0.416 0.625 0.500
0.584 0.375 0.000
0.916 0.875 0.500
0.090 0.652 0.039
0.410 0.152 0.539
0.590 0.848 0.039
0.910 0.348 0.539
0.061 0.602 0.377
0.090 0.132 0.361
0.410 0.632 0.861
0.439 0.102 0.877
0.561 0.898 0.377
0.590 0.368 0.361
0.910 0.868 0.861
0.939 0.398 0.877
```

Output
calculated total energy	-91.6	eV/cell
space-group type	Pna2_1 (33)
M_tot	0.01	μB per cell



No. 6
This record from the Open Quantum Materials Database describes crystalline GdYCd2Au4 at its relaxed geometry. The functional is PBE.

POSCAR file:
```
GdYCd2Au4
1.0
4.946 0.000 0.000
0.000 4.946 0.000
0.000 0.000 6.995
Gd Y Cd Au
1 1 2 4
Direct
0.000 0.000 0.000
0.500 0.500 0.500
0.000 0.000 0.500
0.500 0.500 0.000
0.000 0.500 0.250
0.000 0.500 0.750
0.500 0.000 0.250
0.500 0.000 0.750
```

Output
formation energy	-0.678	eV per atom
space-group type	P4/mmm (123)
M_tot	0.00	μB per cell



No. 7
This record from the Open Quantum Materials Database describes crystalline Y2TmIn3Ir2 at its relaxed geometry. The functional is PBE.

POSCAR file:
```
Y2TmIn3Ir2
1.0
3.663 0.000 0.000
0.000 13.140 0.000
0.000 0.000 7.617
Y Tm In Ir
4 2 6 4
Direct
0.000 0.210 0.000
0.000 0.290 0.500
0.000 0.710 0.500
0.000 0.790 0.000
0.000 0.000 0.367
0.000 0.500 0.867
0.500 0.000 0.026
0.500 0.117 0.672
0.500 0.383 0.172
0.500 0.500 0.526
0.500 0.617 0.172
0.500 0.883 0.672
0.500 0.163 0.291
0.500 0.337 0.791
0.500 0.663 0.791
0.500 0.837 0.291
```

Output
calculated total energy	-97.0	eV/cell
space-group type	Amm2 (38)
M_tot	0.02	μB per cell



No. 8
This record from the Open Quantum Materials Database describes crystalline LuMgZnCo at its relaxed geometry. The functional is PBE.

POSCAR file:
```
LuMgZnCo
1.0
6.501 0.000 0.000
0.000 6.501 0.000
0.000 0.000 6.501
Lu Mg Zn Co
4 4 4 4
Direct
0.000 0.000 0.000
0.000 0.500 0.500
0.500 0.000 0.500
0.500 0.500 0.000
0.250 0.250 0.250
0.250 0.750 0.750
0.750 0.250 0.750
0.750 0.750 0.250
0.000 0.000 0.500
0.000 0.500 0.000
0.500 0.000 0.000
0.500 0.500 0.500
0.250 0.250 0.750
0.250 0.750 0.250
0.750 0.250 0.250
0.750 0.750 0.750
```

Output
excess energy over the best structure of this formula in the dataset	0.000	eV/atom
space-group type	F-43m (216)
M_tot	2.29	μB per cell



No. 9
This record from the Open Quantum Materials Database describes crystalline BeAg at its relaxed geometry. The functional is PBE.

POSCAR file:
```
BeAg
1.0
5.219 0.000 0.000
0.000 5.219 0.000
0.000 0.000 5.219
Be Ag
4 4
Direct
0.000 0.000 0.000
0.000 0.500 0.500
0.500 0.000 0.500
0.500 0.500 0.000
0.250 0.250 0.250
0.250 0.750 0.750
0.750 0.250 0.750
0.750 0.750 0.250
```

Output
calculated total energy	-18.9	eV/cell
space-group type	F-43m (216)



No. 10
This record from the Open Quantum Materials Database describes crystalline Pr3Nd3CoTe2 at its relaxed geometry. The functional is PBE.

POSCAR file:
```
Pr3Nd3CoTe2
1.0
8.716 0.000 0.000
-4.358 7.549 0.000
0.000 0.000 3.994
Pr Nd Co Te
3 3 1 2
Direct
0.000 0.588 0.000
0.412 0.412 0.000
0.588 0.000 0.000
0.000 0.237 0.500
0.237 0.000 0.500
0.763 0.763 0.500
0.000 0.000 0.000
0.333 0.667 0.500
0.667 0.333 0.500
```

Output
excess energy over the best structure of this formula in the dataset	0.000	eV/atom
space-group type	P-62m (189)
M_tot	0.06	μB per cell



No. 11
This record from the Open Quantum Materials Database describes crystalline GdDy2Er at its relaxed geometry. The functional is PBE.

POSCAR file:
```
GdDy2Er
1.0
7.200 0.000 0.000
0.000 12.475 0.000
0.000 0.000 5.623
Gd Dy Er
4 8 4
Direct
0.000 0.167 0.250
0.000 0.833 0.750
0.500 0.333 0.750
0.500 0.667 0.250
0.249 0.417 0.250
0.249 0.583 0.750
0.251 0.083 0.750
0.251 0.917 0.250
0.749 0.083 0.750
0.749 0.917 0.250
0.751 0.417 0.250
0.751 0.583 0.750
0.000 0.334 0.750
0.000 0.666 0.250
0.500 0.166 0.250
0.500 0.834 0.750
```

Output
formation energy	0.008	eV per atom
space-group type	Cmcm (63)
M_tot	0.69	μB per cell



No. 12
This record from the Open Quantum Materials Database describes crystalline LiHfCuB at its relaxed geometry. The functional is PBE.

POSCAR file:
```
LiHfCuB
1.0
5.791 0.000 0.000
0.000 5.791 0.000
0.000 0.000 5.791
Li Hf Cu B
4 4 4 4
Direct
0.000 0.000 0.000
0.000 0.500 0.500
0.500 0.000 0.500
0.500 0.500 0.000
0.250 0.250 0.750
0.250 0.750 0.250
0.750 0.250 0.250
0.750 0.750 0.750
0.000 0.000 0.500
0.000 0.500 0.000
0.500 0.000 0.000
0.500 0.500 0.500
0.250 0.250 0.250
0.250 0.750 0.750
0.750 0.250 0.750
0.750 0.750 0.250
```

Output
excess energy over the best structure of this formula in the dataset	0.208	eV/atom
space-group type	F-43m (216)
M_tot	0.00	μB per cell